Density functional theory data (PBE) for crystalline Co2SiOs at its relaxed geometry.

The structure belongs to space group Imm2 (No. 44); the cell edges are 2.831, 4.132 and 8.183 Å and the angles 90.00°, 90.00° and 90.00°. The distinct sites, in fractional coordinates, are Co at (0.000, 0.000, 0.000), Co at (0.000, 0.500, 0.227), Si at (0.000, 0.000, 0.511) and Os at (0.000, 0.500, 0.771).

The total DFT energy (no corrections) is -62.5 eV for the cell shown. For the density, the calculation gives 11.66 g/cm³.